{
  "formula": "CsAgBr4",
  "functional": "GGA-PBE",
  "state": "relaxed",
  "raw_formation_energy_mev_per_atom": -724.4,
  "lattice_angstrom": [[0.100, -1.117, -7.236], [6.554, -5.031, 0.868], [-8.617, -3.653, 4.132]],
  "species": ["Cs", "Cs", "Ag", "Ag", "Br", "Br", "Br", "Br", "Br", "Br", "Br", "Br"],
  "fractional_positions": [[0.168, 0.165, 0.331], [0.832, 0.835, 0.669], [0.756, 0.499, 0.997], [0.244, 0.501, 0.003], [0.380, 0.381, 0.762], [0.659, 0.307, 0.314], [0.000, 0.255, 0.000], [0.341, 0.993, 0.686], [0.620, 0.619, 0.238], [0.341, 0.693, 0.686], [0.000, 0.745, 0.000], [0.659, 0.007, 0.314]]
}

{
  "formula": "CsAgBr6",
  "functional": "GGA-PBE",
  "state": "relaxed",
  "raw_formation_energy_mev_per_atom": -528.9,
  "n_ef_per_ev_fu": 0.18,
  "lattice_angstrom": [[-5.703, -0.630, -5.353], [-1.651, 0.499, 6.198], [-3.114, 8.217, 3.028]],
  "species": ["Cs", "Ag", "Br", "Br", "Br", "Br", "Br", "Br"],
  "fractional_positions": [[0.500, 0.500, 0.500], [0.000, 0.000, 0.000], [0.390, 0.100, 0.966], [0.048, 0.832, 0.593], [0.779, 0.491, 0.199], [0.952, 0.168, 0.407], [0.610, 0.900, 0.034], [0.221, 0.509, 0.801]]
}

{
  "formula": "Cs4AgBr",
  "functional": "GGA-PBE",
  "state": "relaxed",
  "raw_formation_energy_mev_per_atom": -547.0,
  "n_ef_per_ev_fu": 3.64,
  "lattice_angstrom": [[-2.595, -3.521, 3.044], [0.413, -3.790, -8.678], [8.111, -3.087, 3.343]],
  "species": ["Cs", "Cs", "Cs", "Cs", "Ag", "Br"],
  "fractional_positions": [[0.880, 0.759, 0.636], [0.120, 0.241, 0.364], [0.385, 0.769, 0.124], [0.615, 0.231, 0.876], [0.500, 0.000, 0.500], [0.000, 0.000, 0.000]]
}

{
  "formula": "Cs2Ag3Br8",
  "functional": "GGA-PBE",
  "state": "relaxed",
  "raw_formation_energy_mev_per_atom": -701.4,
  "de_polymorph_mev_per_atom": 0,
  "n_ef_per_ev_fu": 6.11,
  "lattice_angstrom": [[-2.080, -3.853, -3.114], [1.065, -3.646, 3.801], [-14.282, 2.522, 6.420]],
  "species": ["Cs", "Cs", "Ag", "Ag", "Ag", "Br", "Br", "Br", "Br", "Br", "Br", "Br", "Br"],
  "fractional_positions": [[0.000, 0.000, 0.186], [0.000, 0.000, 0.814], [0.500, 0.500, 0.350], [0.500, 0.500, 0.000], [0.500, 0.500, 0.650], [0.500, 0.000, 0.356], [0.000, 0.500, 0.356], [0.000, 0.500, 0.000], [0.500, 0.500, 0.166], [0.500, 0.000, 0.644], [0.000, 0.500, 0.644], [0.500, 0.500, 0.834], [0.500, 0.000, 0.000]]
}

no.,total moment (μB per formula unit)
1,0.000
2,0.000
3,0.000
4,0.000